# BPd4Br2 PBE optimized geometry
data_BPd4Br2
_symmetry_space_group_name_H-M 'I 4/m m m'
_symmetry_Int_Tables_number 139
_symmetry_space_group_name_Hall '-I 4 2'
_cell_length_a 4.203
_cell_length_b 4.203
_cell_length_c 14.568
_cell_angle_alpha 90.00
_cell_angle_beta 90.00
_cell_angle_gamma 90.00
loop_
_atom_site_label
_atom_site_fract_x
_atom_site_fract_y
_atom_site_fract_z
_atom_site_occupancy
B1 0.000 0.000 0.000 1
Pd1 0.000 0.000 0.141 1
Pd2 0.000 0.500 0.000 1
Br1 0.000 0.000 0.324 1
# Density of states at the Fermi level, states/eV/cell: 12.87
# Formation energy without anion corrections, eV per formula unit: 0.194